(1)
VASP calculation (PBE-GGA) on a relaxed BaMgSbH crystal.

extended XYZ file:
```
4
Lattice="4.788 0.000 0.000 -2.394 4.147 0.006 0.000 -0.009 5.228" Properties=species:S:1:pos:R:3 pbc="T T T"
Mg 0.000 1.971 4.615
Sb 2.394 3.355 4.094
H 0.000 1.977 1.312
Ba 2.394 0.594 1.698
```

Summary:
**Electronic total energy**: -13.94 eV/cell
**Crystal system**: trigonal
**D(E_F)**: 0.00 states/eV per atom

=====

(2)
VASP calculation (PBE-GGA) on a relaxed ThCuSi2 crystal.

extended XYZ file:
```
4
Lattice="4.097 0.000 0.000 0.000 4.356 1.758 0.000 0.227 4.692" Properties=species:S:1:pos:R:3 pbc="T T T"
Si 2.049 0.336 2.189
Si 2.049 2.627 5.413
Th 0.000 0.449 4.535
Cu 2.049 2.515 3.067
```

Summary:
**Formation energy without anion corrections**: -0.274 eV per atom
**Electronic total energy**: -23.46 eV/cell
**Crystal system**: orthorhombic
**D(E_F)**: 0.48 states/eV per atom

=====

(3)
VASP calculation (PBE-GGA) on a relaxed BeMoPt3 crystal.

extended XYZ file:
```
5
Lattice="-3.922 -1.511 -0.628 1.425 -3.956 0.617 -0.804 0.359 4.157" Properties=species:S:1:pos:R:3 pbc="T T T"
Pt 0.713 -1.978 0.308
Pt -1.961 -0.756 -0.314
Pt -0.402 0.179 2.079
Mo -1.650 -2.554 2.073
Be 0.000 0.000 0.000
```

Summary:
**Electronic total energy**: -31.76 eV/cell
**Energy relative to the elements**: 0.18 eV per atom
**Crystal system**: cubic
**D(E_F)**: 0.38 states/eV per atom

=====

(4)
VASP calculation (PBE-GGA) on a relaxed Hg2Pb2I crystal.

extended XYZ file:
```
10
Lattice="-3.038 -2.482 -7.890 8.268 -1.125 -2.829 -0.098 -3.908 1.267" Properties=species:S:1:pos:R:3 pbc="T T T"
Pb 6.028 -1.868 -5.296
Pb -0.797 -1.738 -5.423
Pb 2.575 -0.750 -2.113
Pb 2.656 -2.857 -8.606
Hg 4.940 -3.106 -2.533
Hg 0.193 -4.409 -6.919
Hg 0.279 -2.973 -2.485
Hg 4.853 -4.541 -6.967
I 2.615 -1.803 -5.360
I 0.000 0.000 0.000
```

Summary:
**Formation energy without anion corrections**: -0.064 eV per atom
**Electronic total energy**: -19.78 eV/cell
**Crystal system**: tetragonal
**D(E_F)**: 0.50 states/eV per atom